1.
# LiTbTmHg | Alexandria via LeMat-Bulk | PBE | optimized geometry
# Spin magnetization, μB per formula unit: 0.0
# Symmetry: F-43m, No. 216
# Uncorrected energy, Ha/atom: -0.112
# DFT formation energy, eV/atom: -0.21
data_LiTbTmHg
_chemical_formula_sum 'Li1 Tb1 Tm1 Hg1'
_space_group_name_H-M_alt 'P 1'
_space_group_IT_number 1
_cell_length_a 5.200
_cell_length_b 5.200
_cell_length_c 5.200
_cell_angle_alpha 60.00
_cell_angle_beta 60.00
_cell_angle_gamma 60.00
loop_
_space_group_symop_operation_xyz
'x,y,z'
loop_
_atom_site_label
_atom_site_fract_x
_atom_site_fract_y
_atom_site_fract_z
Tb1 0.750 0.750 0.750
Li1 0.000 0.000 0.000
Tm1 0.250 0.250 0.250
Hg1 0.500 0.500 0.500

2.
# LiTb2YHg4 | Alexandria via LeMat-Bulk | PBE | optimized geometry
# Spin magnetization, μB per formula unit: 0.0
# Symmetry: R-3m, No. 166
# Uncorrected energy, Ha/atom: -0.104
# DFT formation energy, eV/atom: -0.47
data_LiTb2YHg4
_chemical_formula_sum 'Li1 Tb2 Y1 Hg4'
_space_group_name_H-M_alt 'P 1'
_space_group_IT_number 1
_cell_length_a 5.162
_cell_length_b 5.162
_cell_length_c 9.047
_cell_angle_alpha 73.43
_cell_angle_beta 73.43
_cell_angle_gamma 60.00
loop_
_space_group_symop_operation_xyz
'x,y,z'
loop_
_atom_site_label
_atom_site_fract_x
_atom_site_fract_y
_atom_site_fract_z
Hg1 0.377 0.377 0.869
Hg2 0.126 0.126 0.623
Hg3 0.623 0.623 0.131
Hg4 0.874 0.874 0.377
Y1 0.000 0.000 0.000
Tb1 0.755 0.755 0.736
Tb2 0.245 0.245 0.264
Li1 0.500 0.500 0.500

3.
# LiTbZnHg | Alexandria via LeMat-Bulk | PBE | optimized geometry
# Spin magnetization, μB per formula unit: 0.0
# Symmetry: F-43m, No. 216
# Uncorrected energy, Ha/atom: -0.087
# DFT formation energy, eV/atom: -0.34
data_LiTbZnHg
_chemical_formula_sum 'Li1 Tb1 Zn1 Hg1'
_space_group_name_H-M_alt 'P 1'
_space_group_IT_number 1
_cell_length_a 4.922
_cell_length_b 4.922
_cell_length_c 4.922
_cell_angle_alpha 60.00
_cell_angle_beta 60.00
_cell_angle_gamma 60.00
loop_
_space_group_symop_operation_xyz
'x,y,z'
loop_
_atom_site_label
_atom_site_fract_x
_atom_site_fract_y
_atom_site_fract_z
Hg1 0.500 0.500 0.500
Li1 0.250 0.250 0.250
Zn1 0.000 0.000 0.000
Tb1 0.750 0.750 0.750

4.
# Li2TcHg | Alexandria via LeMat-Bulk | PBE | optimized geometry
# Spin magnetization, μB per formula unit: 0.0
# Symmetry: P2/m, No. 10
# Uncorrected energy, Ha/atom: -0.125
# DFT formation energy, eV/atom: 0.23
data_Li2TcHg
_chemical_formula_sum 'Li2 Tc1 Hg1'
_space_group_name_H-M_alt 'P 1'
_space_group_IT_number 1
_cell_length_a 4.663
_cell_length_b 2.672
_cell_length_c 5.182
_cell_angle_alpha 87.44
_cell_angle_beta 90.00
_cell_angle_gamma 90.00
loop_
_space_group_symop_operation_xyz
'x,y,z'
loop_
_atom_site_label
_atom_site_fract_x
_atom_site_fract_y
_atom_site_fract_z
Li1 0.000 0.546 0.470
Li2 0.000 0.954 0.030
Tc1 0.500 0.250 0.250
Hg1 0.500 0.750 0.750

5.
# LiTc3Hg | Alexandria via LeMat-Bulk | PBE | optimized geometry
# Spin magnetization, μB per formula unit: 0.0
# Symmetry: Pm-3m, No. 221
# Offset from the most stable computed form, eV per formula unit: 0.000
# Uncorrected energy, Ha/atom: -0.198
# DFT formation energy, eV/atom: 1.27
data_LiTc3Hg
_chemical_formula_sum 'Li1 Tc3 Hg1'
_space_group_name_H-M_alt 'P 1'
_space_group_IT_number 1
_cell_length_a 4.216
_cell_length_b 4.216
_cell_length_c 4.216
_cell_angle_alpha 90.00
_cell_angle_beta 90.00
_cell_angle_gamma 90.00
loop_
_space_group_symop_operation_xyz
'x,y,z'
loop_
_atom_site_label
_atom_site_fract_x
_atom_site_fract_y
_atom_site_fract_z
Tc1 0.000 0.000 0.500
Tc2 0.000 0.500 0.000
Tc3 0.500 0.000 0.000
Li1 0.000 0.000 0.000
Hg1 0.500 0.500 0.500

6.
# LiTcHg | Alexandria via LeMat-Bulk | PBE | optimized geometry
# Spin magnetization, μB per formula unit: 0.7
# Symmetry: Imm2, No. 44
# Offset from the most stable computed form, eV per formula unit: 0.309
# Uncorrected energy, Ha/atom: -0.136
# DFT formation energy, eV/atom: 0.48
data_LiTcHg
_chemical_formula_sum 'Li1 Tc1 Hg1'
_space_group_name_H-M_alt 'P 1'
_space_group_IT_number 1
_cell_length_a 5.076
_cell_length_b 5.076
_cell_length_c 5.076
_cell_angle_alpha 149.27
_cell_angle_beta 131.39
_cell_angle_gamma 58.61
loop_
_space_group_symop_operation_xyz
'x,y,z'
loop_
_atom_site_label
_atom_site_fract_x
_atom_site_fract_y
_atom_site_fract_z
Li1 0.335 0.335 0.000
Tc1 0.670 0.670 0.000
Hg1 0.995 0.995 0.000

7.
# Li2TcHg | Alexandria via LeMat-Bulk | PBE | optimized geometry
# Spin magnetization, μB per formula unit: 2.2
# Symmetry: I-42d, No. 122
# Uncorrected energy, Ha/atom: -0.112
# DFT formation energy, eV/atom: 0.58
data_Li2TcHg
_chemical_formula_sum 'Li4 Tc2 Hg2'
_space_group_name_H-M_alt 'P 1'
_space_group_IT_number 1
_cell_length_a 7.118
_cell_length_b 7.118
_cell_length_c 5.729
_cell_angle_alpha 51.59
_cell_angle_beta 51.59
_cell_angle_gamma 90.00
loop_
_space_group_symop_operation_xyz
'x,y,z'
loop_
_atom_site_label
_atom_site_fract_x
_atom_site_fract_y
_atom_site_fract_z
Tc1 0.500 0.500 0.000
Tc2 0.250 0.750 0.500
Li1 0.875 0.881 0.750
Li2 0.375 0.369 0.750
Li3 0.119 0.625 0.250
Li4 0.631 0.125 0.250
Hg1 0.750 0.250 0.500
Hg2 0.000 0.000 0.000

8.
# Li4TcHg | Alexandria via LeMat-Bulk | PBE | optimized geometry
# Spin magnetization, μB per formula unit: 2.0
# Symmetry: F-43m, No. 216
# Uncorrected energy, Ha/atom: -0.101
# DFT formation energy, eV/atom: 0.31
data_Li4TcHg
_chemical_formula_sum 'Li4 Tc1 Hg1'
_space_group_name_H-M_alt 'P 1'
_space_group_IT_number 1
_cell_length_a 5.019
_cell_length_b 5.019
_cell_length_c 5.019
_cell_angle_alpha 60.00
_cell_angle_beta 60.00
_cell_angle_gamma 60.00
loop_
_space_group_symop_operation_xyz
'x,y,z'
loop_
_atom_site_label
_atom_site_fract_x
_atom_site_fract_y
_atom_site_fract_z
Li1 0.376 0.376 0.376
Li2 0.376 0.376 0.873
Li3 0.376 0.873 0.376
Li4 0.873 0.376 0.376
Tc1 0.750 0.750 0.750
Hg1 0.000 0.000 0.000

9.
# Li2TcHg | Alexandria via LeMat-Bulk | PBE | optimized geometry
# Spin magnetization, μB per formula unit: 0.7
# Symmetry: R-3m, No. 166
# Uncorrected energy, Ha/atom: -0.125
# DFT formation energy, eV/atom: 0.21
data_Li2TcHg
_chemical_formula_sum 'Li2 Tc1 Hg1'
_space_group_name_H-M_alt 'P 1'
_space_group_IT_number 1
_cell_length_a 9.703
_cell_length_b 9.703
_cell_length_c 9.703
_cell_angle_alpha 16.79
_cell_angle_beta 16.79
_cell_angle_gamma 16.79
loop_
_space_group_symop_operation_xyz
'x,y,z'
loop_
_atom_site_label
_atom_site_fract_x
_atom_site_fract_y
_atom_site_fract_z
Li1 0.505 0.505 0.505
Li2 0.995 0.995 0.995
Tc1 0.250 0.250 0.250
Hg1 0.750 0.750 0.750

10.
# LiTc4Hg | Alexandria via LeMat-Bulk | PBE | optimized geometry
# Spin magnetization, μB per formula unit: 0.0
# Symmetry: F-43m, No. 216
# Uncorrected energy, Ha/atom: -0.249
# DFT formation energy, eV/atom: 0.49
data_LiTc4Hg
_chemical_formula_sum 'Li1 Tc4 Hg1'
_space_group_name_H-M_alt 'P 1'
_space_group_IT_number 1
_cell_length_a 5.189
_cell_length_b 5.189
_cell_length_c 5.189
_cell_angle_alpha 60.00
_cell_angle_beta 60.00
_cell_angle_gamma 60.00
loop_
_space_group_symop_operation_xyz
'x,y,z'
loop_
_atom_site_label
_atom_site_fract_x
_atom_site_fract_y
_atom_site_fract_z
Tc1 0.375 0.375 0.375
Tc2 0.375 0.375 0.876
Tc3 0.876 0.375 0.375
Tc4 0.375 0.876 0.375
Li1 0.000 0.000 0.000
Hg1 0.750 0.750 0.750

11.
# Li2Tc4Hg | Alexandria via LeMat-Bulk | PBE | optimized geometry
# Spin magnetization, μB per formula unit: 12.1
# Symmetry: I4/mmm, No. 139
# Uncorrected energy, Ha/atom: -0.158
# DFT formation energy, eV/atom: 2.23
data_Li2Tc4Hg
_chemical_formula_sum 'Li2 Tc4 Hg1'
_space_group_name_H-M_alt 'P 1'
_space_group_IT_number 1
_cell_length_a 5.015
_cell_length_b 5.015
_cell_length_c 7.446
_cell_angle_alpha 70.32
_cell_angle_beta 70.32
_cell_angle_gamma 90.00
loop_
_space_group_symop_operation_xyz
'x,y,z'
loop_
_atom_site_label
_atom_site_fract_x
_atom_site_fract_y
_atom_site_fract_z
Li1 0.401 0.401 0.198
Li2 0.599 0.599 0.802
Tc1 0.204 0.204 0.591
Tc2 0.500 0.000 0.000
Tc3 0.796 0.796 0.409
Tc4 0.000 0.500 0.000
Hg1 0.000 0.000 0.000

12.
# Li2TcHg | Alexandria via LeMat-Bulk | PBE | optimized geometry
# Spin magnetization, μB per formula unit: 0.1
# Symmetry: Imm2, No. 44
# Uncorrected energy, Ha/atom: -0.122
# DFT formation energy, eV/atom: 0.30
data_Li2TcHg
_chemical_formula_sum 'Li2 Tc1 Hg1'
_space_group_name_H-M_alt 'P 1'
_space_group_IT_number 1
_cell_length_a 5.484
_cell_length_b 5.484
_cell_length_c 5.484
_cell_angle_alpha 150.91
_cell_angle_beta 129.62
_cell_angle_gamma 59.23
loop_
_space_group_symop_operation_xyz
'x,y,z'
loop_
_atom_site_label
_atom_site_fract_x
_atom_site_fract_y
_atom_site_fract_z
Tc1 0.505 0.505 0.000
Hg1 0.236 0.736 0.500
Li1 0.998 0.998 0.000
Li2 0.761 0.261 0.500

13.
# Li2TcHg | Alexandria via LeMat-Bulk | PBE | optimized geometry
# Spin magnetization, μB per formula unit: 0.4
# Symmetry: Immm, No. 71
# Uncorrected energy, Ha/atom: -0.124
# DFT formation energy, eV/atom: 0.26
data_Li2TcHg
_chemical_formula_sum 'Li2 Tc1 Hg1'
_space_group_name_H-M_alt 'P 1'
_space_group_IT_number 1
_cell_length_a 5.522
_cell_length_b 5.522
_cell_length_c 5.522
_cell_angle_alpha 150.75
_cell_angle_beta 126.90
_cell_angle_gamma 61.78
loop_
_space_group_symop_operation_xyz
'x,y,z'
loop_
_atom_site_label
_atom_site_fract_x
_atom_site_fract_y
_atom_site_fract_z
Hg1 0.250 0.750 0.500
Li1 0.000 0.000 0.000
Li2 0.500 0.500 0.000
Tc1 0.750 0.250 0.500

14.
# Li2TcHg | Alexandria via LeMat-Bulk | PBE | optimized geometry
# Spin magnetization, μB per formula unit: 0.4
# Symmetry: Pmm2, No. 25
# Uncorrected energy, Ha/atom: -0.122
# DFT formation energy, eV/atom: 0.30
data_Li2TcHg
_chemical_formula_sum 'Li2 Tc1 Hg1'
_space_group_name_H-M_alt 'P 1'
_space_group_IT_number 1
_cell_length_a 2.674
_cell_length_b 4.414
_cell_length_c 5.573
_cell_angle_alpha 90.00
_cell_angle_beta 90.00
_cell_angle_gamma 90.00
loop_
_space_group_symop_operation_xyz
'x,y,z'
loop_
_atom_site_label
_atom_site_fract_x
_atom_site_fract_y
_atom_site_fract_z
Li1 0.000 0.000 0.004
Li2 0.500 0.500 0.256
Hg1 0.500 0.500 0.741
Tc1 0.000 0.000 0.499

15.
# Li2TcHg | Alexandria via LeMat-Bulk | PBE | optimized geometry
# Spin magnetization, μB per formula unit: 0.5
# Symmetry: Pmmm, No. 47
# Uncorrected energy, Ha/atom: -0.124
# DFT formation energy, eV/atom: 0.25
data_Li2TcHg
_chemical_formula_sum 'Li2 Tc1 Hg1'
_space_group_name_H-M_alt 'P 1'
_space_group_IT_number 1
_cell_length_a 2.821
_cell_length_b 4.896
_cell_length_c 4.720
_cell_angle_alpha 90.00
_cell_angle_beta 90.00
_cell_angle_gamma 90.00
loop_
_space_group_symop_operation_xyz
'x,y,z'
loop_
_atom_site_label
_atom_site_fract_x
_atom_site_fract_y
_atom_site_fract_z
Hg1 0.000 0.500 0.500
Li1 0.000 0.000 0.000
Li2 0.500 0.500 0.000
Tc1 0.500 0.000 0.500